A relaxed structure of ZrCuP, computed with GGA-PBE.

Cell and atoms, written as CIF:
```
data_ZrCuP
_cell_length_a 3.968
_cell_length_b 5.109
_cell_length_c 9.625
_cell_angle_alpha 90.00
_cell_angle_beta 90.00
_cell_angle_gamma 90.00
_space_group_name_H-M_alt 'F m m 2'
_space_group_IT_number 42
_space_group_name_Hall 'F 2 -2'
loop_
_atom_site_label
_atom_site_fract_x
_atom_site_fract_y
_atom_site_fract_z
_atom_site_occupancy
Zr1 0.000 0.000 0.000 1
Cu1 0.000 0.000 0.695 1
P1 0.000 0.000 0.321 1
```

A relaxed structure of Zr2CuP, computed with GGA-PBE.

Cell and atoms, written as CIF:
```
data_Zr2CuP
_cell_length_a 3.963
_cell_length_b 5.084
_cell_length_c 7.236
_cell_angle_alpha 90.00
_cell_angle_beta 90.00
_cell_angle_gamma 90.00
_space_group_name_H-M_alt 'C m m 2'
_space_group_IT_number 35
_space_group_name_Hall 'C 2 -2'
loop_
_atom_site_label
_atom_site_fract_x
_atom_site_fract_y
_atom_site_fract_z
_atom_site_occupancy
Zr1 0.000 0.000 0.000 1
Zr2 0.000 0.500 0.335 1
Cu1 0.000 0.000 0.593 1
P1 0.000 0.500 0.762 1
```

A relaxed structure of ZrCuP2, computed with GGA-PBE.

Cell and atoms, written as CIF:
```
data_ZrCuP2
_cell_length_a 3.829
_cell_length_b 4.057
_cell_length_c 7.885
_cell_angle_alpha 90.00
_cell_angle_beta 90.00
_cell_angle_gamma 90.00
_space_group_name_H-M_alt 'I m m m'
_space_group_IT_number 71
_space_group_name_Hall '-I 2 2'
loop_
_atom_site_label
_atom_site_fract_x
_atom_site_fract_y
_atom_site_fract_z
_atom_site_occupancy
Zr1 0.000 0.000 0.000 1
Cu1 0.000 0.000 0.500 1
P1 0.000 0.500 0.245 1
```

A relaxed structure of Zr2Cu2P3, computed with GGA-PBE.

Cell and atoms, written as CIF:
```
data_Zr2Cu2P3
_cell_length_a 13.564
_cell_length_b 3.690
_cell_length_c 10.624
_cell_angle_alpha 90.00
_cell_angle_beta 122.37
_cell_angle_gamma 90.00
_space_group_name_H-M_alt 'C 1 2/m 1'
_space_group_IT_number 12
_space_group_name_Hall '-C 2y'
loop_
_atom_site_label
_atom_site_fract_x
_atom_site_fract_y
_atom_site_fract_z
_atom_site_occupancy
Zr1 0.096 0.000 0.450 1
Zr2 0.237 0.000 0.843 1
Cu1 0.047 0.500 0.817 1
Cu2 0.093 0.000 0.170 1
P1 0.096 0.500 0.640 1
P2 0.115 0.000 0.972 1
P3 0.171 0.500 0.328 1
```

A relaxed structure of ZrCuP2, computed with GGA-PBE.

Cell and atoms, written as CIF:
```
data_ZrCuP2
_cell_length_a 2.925
_cell_length_b 2.925
_cell_length_c 8.272
_cell_angle_alpha 90.00
_cell_angle_beta 90.00
_cell_angle_gamma 90.00
_space_group_name_H-M_alt 'P 4 m m'
_space_group_IT_number 99
_space_group_name_Hall 'P 4 -2'
loop_
_atom_site_label
_atom_site_fract_x
_atom_site_fract_y
_atom_site_fract_z
_atom_site_occupancy
Zr1 0.000 0.000 0.000 1
Cu1 0.500 0.500 0.249 1
P1 0.000 0.000 0.399 1
P2 0.500 0.500 0.768 1
```

# Zr4CuP | Alexandria | GGA-PBE | optimized geometry
# Energy above the most stable polymorph in this dataset (meV per atom): 0
data_Zr4CuP
_cell_length_a 6.545
_cell_length_b 6.545
_cell_length_c 5.333
_cell_angle_alpha 90.00
_cell_angle_beta 90.00
_cell_angle_gamma 90.00
_space_group_name_H-M_alt 'P 4/m c c'
_space_group_IT_number 124
_space_group_name_Hall '-P 4 2c'
loop_
_atom_site_label
_atom_site_fract_x
_atom_site_fract_y
_atom_site_fract_z
_atom_site_occupancy
Zr1 0.153 0.339 0.000 1
Cu1 0.500 0.500 0.250 1
P1 0.000 0.000 0.250 1

| no. | magnetic moment (μB/f.u.) | calculated total energy (eV for the cell shown) |
| --- | --- | --- |
| 1 | 0.00 | -77.0 |
| 2 | 0.15 | -55.4 |
| 3 | 0.00 | -49.2 |
| 4 | 0.00 | -188.6 |
| 5 | 0.00 | -23.3 |
| 6 | 0.00 | -94.2 |